This record from Alexandria describes a relaxed NaTb5Pb6 crystal. The functional is PBE-GGA.

Lattice parameters (Å, degrees): 4.9556 8.9341 9.2028 119.04 105.68 90.00
Fractional positions:
Pb 0.8310 0.5806 0.6628
Pb 0.8310 0.0822 0.6628
Pb 0.5000 0.7491 0.0000
Pb 0.5000 0.2509 0.0000
Pb 0.1690 0.9178 0.3372
Pb 0.1690 0.4194 0.3372
Na 0.0000 0.0000 0.0000
Tb 0.6571 0.1570 0.3141
Tb 0.3332 0.3338 0.6676
Tb 0.0000 0.5000 0.0000
Tb 0.6668 0.6662 0.3324
Tb 0.3429 0.8430 0.6859

- Size of the total moment: 0.00 μB/cell
- ΔE_f: -0.411 eV/atom
- N(E_F): 7.2 states/eV/cell
- Crystal system: monoclinic